Density functional theory data (PBE) for a relaxed structure of Fe2Pd7Pt2.

The structure in POSCAR format:
```
Fe2Pd7Pt2
1.0
2.786 0.000 0.000
1.393 8.067 -0.687
1.393 3.220 7.428
Pd Pt Fe
7 2 2
Cartesian
2.786 4.578 1.456 Pd
4.180 6.515 5.331 Pd
2.786 8.638 6.613 Pd
1.393 3.505 3.533 Pd
2.786 7.833 -0.295 Pd
2.786 1.370 2.272 Pd
2.786 7.835 3.401 Pd
4.180 9.928 4.604 Pt
1.393 2.527 0.184 Pt
2.786 4.358 5.523 Fe
1.393 6.710 1.585 Fe
```

Output
* relative energy among the computed polymorphs: 0.143 eV/atom
* space group: Imm2, No. 44
* Fermi-level density of states: 10.561 states/eV/cell
* calculated formation energy: 0.034 eV/atom
* total DFT energy (no corrections): -0.434 Ry/atom

Density functional theory data (PBE) for a relaxed structure of Ac3La2Pr5.

The structure in POSCAR format:
```
Ac3La2Pr5
1.0
10.242 -2.497 -2.752
-3.809 9.817 -3.036
-0.780 -0.732 9.304
Ac Pr La
6 10 4
Cartesian
-0.869 6.889 -0.603 Ac
2.229 3.414 4.054 Ac
3.424 3.174 -0.538 Ac
2.616 -0.558 -0.542 Ac
3.037 7.145 4.058 Ac
6.522 -0.301 4.119 Ac
6.949 4.444 -0.498 Pr
2.864 6.815 -2.005 Pr
5.971 3.352 2.677 Pr
2.789 -0.228 5.521 Pr
-1.296 2.143 4.014 Pr
-0.236 3.417 6.803 Pr
1.952 5.841 1.203 Pr
3.701 0.746 2.313 Pr
5.889 3.170 -3.288 Pr
-0.318 3.236 0.839 Pr
9.222 -2.706 4.084 La
-3.569 9.294 -0.568 La
-0.532 5.747 3.931 La
6.185 0.841 -0.415 La
```

Output
* relative energy among the computed polymorphs: 0.000 eV/atom
* space group: C2/c, No. 15
* Fermi-level density of states: 35.720 states/eV/cell
* calculated formation energy: 0.176 eV/atom
* total DFT energy (no corrections): -0.326 Ry/atom

Density functional theory data (PBE) for a relaxed structure of NaYC.

The structure in POSCAR format:
```
NaYC
1.0
11.402 0.009 -0.014
0.365 4.174 -0.001
0.029 1.538 3.233
Na C Y
2 2 2
Cartesian
7.275 2.392 2.845 Na
4.520 3.330 0.372 Na
0.668 3.618 0.260 C
11.127 2.104 2.958 C
10.394 4.075 2.030 Y
1.401 1.647 1.188 Y
```

Output
* relative energy among the computed polymorphs: 0.000 eV/atom
* space group: P-1, No. 2
* Fermi-level density of states: 2.779 states/eV/cell
* calculated formation energy: -0.133 eV/atom
* total DFT energy (no corrections): -0.426 Ry/atom

Density functional theory data (PBE) for a relaxed structure of SrCd2AgTe.

The structure in POSCAR format:
```
SrCd2AgTe
1.0
5.704 0.000 0.000
0.000 5.485 0.000
0.000 0.000 5.704
Ag Te Cd Sr
1 1 2 1
Cartesian
0.000 2.743 0.000 Ag
0.000 0.000 0.000 Te
0.000 0.000 2.852 Cd
2.852 0.000 0.000 Cd
2.852 2.743 2.852 Sr
```

Output
* space group: P4/mmm, No. 123
* Fermi-level density of states: 4.183 states/eV/cell
* total DFT energy (no corrections): -0.127 Ry/atom

Density functional theory data (PBE) for a relaxed structure of Hg2Sb2Au.

The structure in POSCAR format:
```
Hg2Sb2Au
1.0
-3.450 -3.146 4.918
2.182 -0.707 -6.381
4.825 -4.061 1.528
Au Sb Hg
1 2 2
Cartesian
0.000 0.000 0.000 Au
0.775 -2.620 -0.179 Sb
2.782 -5.295 0.243 Sb
-0.066 -4.756 3.732 Hg
3.622 -3.159 -3.667 Hg
```

Output
* relative energy among the computed polymorphs: 0.000 eV/atom
* space group: C2/m, No. 12
* Fermi-level density of states: 2.100 states/eV/cell
* total DFT energy (no corrections): -0.171 Ry/atom

Density functional theory data (PBE) for a relaxed structure of Ce2Nd2CoBi2.

The structure in POSCAR format:
```
Ce2Nd2CoBi2
1.0
4.848 0.000 0.000
0.000 4.848 0.000
-2.424 -2.424 8.851
Nd Bi Co Ce
2 2 1 2
Cartesian
0.000 0.000 3.024 Nd
2.424 2.424 5.827 Nd
0.000 0.000 6.349 Bi
2.424 2.424 2.501 Bi
0.000 0.000 0.000 Co
0.000 2.424 0.000 Ce
2.424 0.000 0.000 Ce
```

Output
* space group: I4/mmm, No. 139
* Fermi-level density of states: 9.673 states/eV/cell
* calculated formation energy: -0.641 eV/atom
* total DFT energy (no corrections): -0.428 Ry/atom